RbV2RhO8: optimized geometry, GGA+U.

Cell lengths 5.417, 5.417, 8.105 Å; angles 90.00, 90.00, 120.00 degrees
Last column: magnetic moment on the atom in μB.
Sites, in units of the cell vectors:
O 0.750 0.071 0.358  0.12
O 0.250 0.929 0.642  0.12
O 0.321 0.250 0.358  0.12
O 0.333 0.667 0.911  0.12
O 0.667 0.333 0.089  0.12
O 0.929 0.679 0.358  0.12
O 0.679 0.750 0.642  0.12
O 0.071 0.321 0.642  0.12
Rb 0.000 0.000 0.000  0.00
V 0.333 0.667 0.706  -0.06
V 0.667 0.333 0.294  -0.06
Rh 0.000 0.000 0.500  0.95

Calculated volume: 205.9 Å³/f.u.
Total DFT energy (no corrections): -80.3 eV per cell